# Fe2ReBr

Crystalline Fe2ReBr at its relaxed geometry (GGA-PBE, Alexandria via LeMat-Bulk).

Structure (POSCAR):
```
Fe2ReBr
1.0
4.7434 -0.0004 0.0000
1.6103 4.4617 0.0000
-3.1768 -2.2306 2.7261
Br Fe Re
1 2 1
direct
0.7500 0.2500 0.5000
0.0000 0.0000 0.0000
0.2500 0.7500 0.5000
0.5000 0.5000 0.0000
```

E_form (uncorrected): 1.131 eV per atom